This record from the Alexandria database describes a relaxed structure of ZrOsPd2O. The functional is PBEsol.

Its density is 7.81 g cm⁻³. The calculation puts the raw total energy at -0.2345 Ha/atom.

a = 4.697 Å, b = 4.697 Å, c = 4.917 Å
α = 90.00°, β = 90.00°, γ = 90.00°
Element x y z (fractional)
Zr  0.000  0.000  0.000
Os  0.000  0.000  0.500
Pd  0.000  0.500  0.500
Pd  0.500  0.000  0.500
O  0.500  0.500  0.000

***

This record from the Alexandria database describes a relaxed structure of Sc3Pt. The functional is PBEsol.

Its density is 6.87 g cm⁻³. The calculation puts the raw total energy at -0.2705 Ha/atom. For the formation energy, the calculation gives -0.6650 eV/atom.

a = 5.721 Å, b = 5.721 Å, c = 5.721 Å
α = 145.07°, β = 131.30°, γ = 61.33°
Element x y z (fractional)
Sc  0.000  0.000  0.000
Sc  0.288  0.788  0.500
Sc  0.712  0.212  0.500
Pt  0.500  0.500  0.000

***

This record from the Alexandria database describes a relaxed structure of Sr3TlF. The functional is PBEsol.

Its density is 3.28 g cm⁻³. The calculation puts the raw total energy at -0.0922 Ha/atom.

a = 6.270 Å, b = 6.270 Å, c = 6.270 Å
α = 90.00°, β = 90.00°, γ = 90.00°
Element x y z (fractional)
Sr  0.000  0.000  0.500
Sr  0.000  0.500  0.000
Sr  0.500  0.000  0.000
Tl  0.000  0.000  0.000
F  0.500  0.500  0.500

***

This record from the Alexandria database describes a relaxed structure of ZrZnTc. The functional is PBEsol.

Its density is 7.88 g cm⁻³. The calculation puts the raw total energy at -0.2552 Ha/atom. Its energy above the lowest structure with this stoichiometry is 0.4340 eV per atom. For the formation energy, the calculation gives 0.3688 eV/atom.

a = 4.234 Å, b = 4.234 Å, c = 4.234 Å
α = 60.00°, β = 60.00°, γ = 60.00°
Element x y z (fractional)
Zr  0.000  0.000  0.000
Zn  0.250  0.250  0.250
Tc  0.500  0.500  0.500

***

This record from the Alexandria database describes a relaxed structure of Sc2TaCr. The functional is PBEsol.

Its density is 7.35 g cm⁻³. The calculation puts the raw total energy at -0.3231 Ha/atom. Its energy above the lowest structure with this stoichiometry is 0.0000 eV per atom. For the formation energy, the calculation gives 0.2087 eV/atom.

a = 5.463 Å, b = 5.463 Å, c = 5.463 Å
α = 145.36°, β = 127.24°, γ = 64.67°
Element x y z (fractional)
Sc  0.000  0.000  0.000
Sc  0.712  0.212  0.500
Ta  0.284  0.784  0.500
Cr  0.472  0.472  0.000

***

This record from the Alexandria database describes a relaxed structure of CaInIr2. The functional is PBEsol.

Its density is 12.26 g cm⁻³. The calculation puts the raw total energy at -0.2316 Ha/atom. For the formation energy, the calculation gives -0.1109 eV/atom.

a = 5.982 Å, b = 5.982 Å, c = 5.982 Å
α = 151.63°, β = 133.74°, γ = 55.16°
Element x y z (fractional)
Ca  0.000  0.000  0.000
In  0.291  0.791  0.500
Ir  0.518  0.518  0.000
Ir  0.721  0.221  0.500

***

This record from the Alexandria database describes a relaxed structure of BaLaIr4. The functional is PBEsol.

Its density is 15.08 g cm⁻³. The calculation puts the raw total energy at -0.2988 Ha/atom. For the formation energy, the calculation gives -0.3317 eV/atom.

a = 5.459 Å, b = 5.459 Å, c = 5.459 Å
α = 60.00°, β = 60.00°, γ = 60.00°
Element x y z (fractional)
Ba  0.000  0.000  0.000
La  0.250  0.250  0.250
Ir  0.126  0.625  0.625
Ir  0.625  0.126  0.625
Ir  0.625  0.625  0.126
Ir  0.625  0.625  0.625

***

This record from the Alexandria database describes a relaxed structure of Na2LaPd2. The functional is PBEsol.

Its density is 5.87 g cm⁻³. The calculation puts the raw total energy at -0.1579 Ha/atom. For the formation energy, the calculation gives -0.2828 eV/atom.

a = 7.645 Å, b = 7.645 Å, c = 7.645 Å
α = 149.83°, β = 149.83°, γ = 43.20°
Element x y z (fractional)
Na  0.250  0.750  0.500
Na  0.750  0.250  0.500
La  0.000  0.000  0.000
Pd  0.407  0.407  0.000
Pd  0.593  0.593  0.000

***

This record from the Alexandria database describes a relaxed structure of ZrSb2Au. The functional is PBEsol.

Its density is 9.51 g cm⁻³. The calculation puts the raw total energy at -0.2135 Ha/atom.

a = 3.120 Å, b = 3.120 Å, c = 9.538 Å
α = 90.00°, β = 90.00°, γ = 90.00°
Element x y z (fractional)
Zr  0.000  0.000  0.000
Sb  0.000  0.000  0.421
Sb  0.500  0.500  0.768
Au  0.500  0.500  0.199

***

This record from the Alexandria database describes a relaxed structure of TcH3Pt. The functional is PBEsol.

Its density is 12.56 g cm⁻³. The calculation puts the raw total energy at -0.1916 Ha/atom.

a = 3.395 Å, b = 3.395 Å, c = 3.395 Å
α = 90.00°, β = 90.00°, γ = 90.00°
Element x y z (fractional)
Tc  0.000  0.000  0.000
H  0.000  0.000  0.500
H  0.000  0.500  0.000
H  0.500  0.000  0.000
Pt  0.500  0.500  0.500

***

This record from the Alexandria database describes a relaxed structure of Ca4OsN4. The functional is PBEsol.

Its density is 5.05 g cm⁻³. The calculation puts the raw total energy at -0.2516 Ha/atom.

a = 5.948 Å, b = 6.031 Å, c = 8.421 Å
α = 87.96°, β = 71.13°, γ = 69.94°
Element x y z (fractional)
Ca  0.053  0.234  0.433
Ca  0.191  0.227  0.019
Ca  0.262  0.720  0.149
Ca  0.425  0.292  0.621
Ca  0.575  0.708  0.379
Ca  0.738  0.280  0.851
Ca  0.809  0.773  0.981
Ca  0.947  0.766  0.567
Os  0.390  0.796  0.757
Os  0.610  0.204  0.243
N  0.163  0.014  0.673
N  0.266  0.551  0.882
N  0.301  0.481  0.377
N  0.414  0.018  0.208
N  0.586  0.982  0.792
N  0.699  0.519  0.623
N  0.734  0.449  0.118
N  0.837  0.986  0.327

***

This record from the Alexandria database describes a relaxed structure of AgSbTe2As. The functional is PBEsol.

Its density is 6.16 g cm⁻³. The calculation puts the raw total energy at -0.1205 Ha/atom.

a = 5.293 Å, b = 5.293 Å, c = 5.388 Å
α = 90.00°, β = 90.00°, γ = 90.00°
Element x y z (fractional)
Ag  0.000  0.000  0.000
Sb  0.500  0.500  0.000
Te  0.000  0.500  0.500
Te  0.500  0.000  0.500
As  0.500  0.500  0.500

***

This record from the Alexandria database describes a relaxed structure of HgOs2Pt. The functional is PBEsol.

Its density is 20.62 g cm⁻³. The calculation puts the raw total energy at -0.2853 Ha/atom. For the formation energy, the calculation gives 0.2260 eV/atom.

a = 2.787 Å, b = 2.787 Å, c = 8.047 Å
α = 90.00°, β = 90.00°, γ = 90.00°
Element x y z (fractional)
Hg  0.000  0.000  0.000
Os  0.000  0.000  0.481
Os  0.500  0.500  0.275
Pt  0.500  0.500  0.725

***

This record from the Alexandria database describes a relaxed structure of AsAuSe2. The functional is PBEsol.

Its density is 9.36 g cm⁻³. The calculation puts the raw total energy at -0.1383 Ha/atom.

a = 2.768 Å, b = 5.077 Å, c = 5.428 Å
α = 90.00°, β = 90.00°, γ = 90.00°
Element x y z (fractional)
As  0.000  0.000  0.000
Au  0.500  0.000  0.500
Se  0.000  0.500  0.500
Se  0.500  0.500  0.000

***

This record from the Alexandria database describes a relaxed structure of SrSc2Mn. The functional is PBEsol.

Its density is 3.96 g cm⁻³. The calculation puts the raw total energy at -0.2130 Ha/atom. Its energy above the lowest structure with this stoichiometry is 0.0000 eV per atom. For the formation energy, the calculation gives 0.4056 eV/atom.

a = 6.019 Å, b = 6.019 Å, c = 6.019 Å
α = 146.84°, β = 124.20°, γ = 66.47°
Element x y z (fractional)
Sr  0.000  0.000  0.000
Sc  0.308  0.808  0.500
Sc  0.692  0.192  0.500
Mn  0.500  0.500  0.000

***

This record from the Alexandria database describes a relaxed structure of CsLi3Ge. The functional is PBEsol.

Its density is 2.93 g cm⁻³. The calculation puts the raw total energy at -0.0528 Ha/atom. For the formation energy, the calculation gives 0.9185 eV/atom.

a = 5.046 Å, b = 5.046 Å, c = 5.046 Å
α = 90.00°, β = 90.00°, γ = 90.00°
Element x y z (fractional)
Cs  0.000  0.000  0.000
Li  0.000  0.000  0.500
Li  0.000  0.500  0.000
Li  0.500  0.000  0.000
Ge  0.500  0.500  0.500

***

This record from the Alexandria database describes a relaxed structure of CrSnO2. The functional is PBEsol.

Its density is 6.42 g cm⁻³. The calculation puts the raw total energy at -0.2836 Ha/atom. Its energy above the lowest structure with this stoichiometry is 0.0000 eV per atom.

a = 6.747 Å, b = 6.747 Å, c = 6.747 Å
α = 26.11°, β = 26.11°, γ = 26.11°
Element x y z (fractional)
Cr  0.000  0.000  0.000
Sn  0.500  0.500  0.500
O  0.382  0.382  0.382
O  0.618  0.618  0.618

***

This record from the Alexandria database describes a relaxed structure of HgPtAu2. The functional is PBEsol.

Its density is 19.15 g cm⁻³. The calculation puts the raw total energy at -0.1405 Ha/atom. For the formation energy, the calculation gives 0.0217 eV/atom.

a = 2.928 Å, b = 4.031 Å, c = 5.801 Å
α = 90.00°, β = 90.00°, γ = 90.00°
Element x y z (fractional)
Hg  0.000  0.000  0.000
Pt  0.500  0.500  0.242
Au  0.000  0.000  0.491
Au  0.500  0.500  0.733

***

This record from the Alexandria database describes a relaxed structure of HfRe2BSe. The functional is PBEsol.

Its density is 10.96 g cm⁻³. The calculation puts the raw total energy at -0.2632 Ha/atom.

a = 4.866 Å, b = 4.866 Å, c = 4.100 Å
α = 90.00°, β = 90.00°, γ = 90.00°
Element x y z (fractional)
Hf  0.000  0.000  0.000
Re  0.000  0.500  0.000
Re  0.500  0.000  0.000
B  0.000  0.000  0.500
Se  0.500  0.500  0.500

***

This record from the Alexandria database describes a relaxed structure of MnSnBi3. The functional is PBEsol.

Its density is 9.36 g cm⁻³. The calculation puts the raw total energy at -0.1818 Ha/atom. For the formation energy, the calculation gives 0.4294 eV/atom.

a = 5.218 Å, b = 5.218 Å, c = 5.218 Å
α = 90.00°, β = 90.00°, γ = 90.00°
Element x y z (fractional)
Mn  0.000  0.000  0.000
Sn  0.500  0.500  0.500
Bi  0.000  0.000  0.500
Bi  0.000  0.500  0.000
Bi  0.500  0.000  0.000

***

This record from the Alexandria database describes a relaxed structure of CaTl2In. The functional is PBEsol.

Its density is 8.72 g cm⁻³. The calculation puts the raw total energy at -0.1045 Ha/atom. For the formation energy, the calculation gives -0.2490 eV/atom.

a = 3.880 Å, b = 3.880 Å, c = 7.126 Å
α = 90.00°, β = 90.00°, γ = 90.00°
Element x y z (fractional)
Ca  0.000  0.000  0.000
Tl  0.500  0.500  0.266
Tl  0.500  0.500  0.734
In  0.000  0.000  0.500

***

This record from the Alexandria database describes a relaxed structure of ReSn2AsCl. The functional is PBEsol.

Its density is 6.37 g cm⁻³. The calculation puts the raw total energy at -0.1756 Ha/atom.

a = 5.512 Å, b = 5.512 Å, c = 4.584 Å
α = 90.00°, β = 90.00°, γ = 90.00°
Element x y z (fractional)
Re  0.000  0.000  0.000
Sn  0.000  0.500  0.500
Sn  0.500  0.000  0.500
As  0.000  0.000  0.500
Cl  0.500  0.500  0.000

***

This record from the Alexandria database describes a relaxed structure of FeRe5. The functional is PBEsol.

Its density is 19.59 g cm⁻³. The calculation puts the raw total energy at -0.4622 Ha/atom. Its energy above the lowest structure with this stoichiometry is 0.0031 eV per atom. For the formation energy, the calculation gives 0.0256 eV/atom.

a = 4.358 Å, b = 7.168 Å, c = 7.168 Å
α = 21.93°, β = 90.00°, γ = 90.00°
Element x y z (fractional)
Fe  0.000  0.000  0.000
Re  0.000  0.336  0.336
Re  0.000  0.659  0.659
Re  0.500  0.220  0.220
Re  0.500  0.550  0.550
Re  0.500  0.889  0.889

***

This record from the Alexandria database describes a relaxed structure of ZnCoTe2. The functional is PBEsol.

Its density is 7.86 g cm⁻³. The calculation puts the raw total energy at -0.1466 Ha/atom.

a = 3.361 Å, b = 3.361 Å, c = 7.100 Å
α = 90.00°, β = 90.00°, γ = 90.00°
Element x y z (fractional)
Zn  0.000  0.000  0.000
Co  0.500  0.500  0.186
Te  0.000  0.000  0.362
Te  0.500  0.500  0.806

***

This record from the Alexandria database describes a relaxed structure of RbGaF3. The functional is PBEsol.

Its density is 3.51 g cm⁻³. The calculation puts the raw total energy at -0.1694 Ha/atom.

a = 4.610 Å, b = 5.908 Å, c = 8.242 Å
α = 69.11°, β = 74.44°, γ = 89.98°
Element x y z (fractional)
Rb  0.156  0.178  0.145
Rb  0.844  0.822  0.855
Ga  0.488  0.577  0.348
Ga  0.512  0.423  0.652
F  0.116  0.600  0.304
F  0.361  0.108  0.804
F  0.361  0.586  0.805
F  0.639  0.414  0.195
F  0.639  0.892  0.196
F  0.884  0.400  0.696

***

This record from the Alexandria database describes a relaxed structure of Bi2B2Pt. The functional is PBEsol.

Its density is 12.80 g cm⁻³. The calculation puts the raw total energy at -0.1940 Ha/atom. For the formation energy, the calculation gives 0.6339 eV/atom.

a = 6.039 Å, b = 6.039 Å, c = 4.516 Å
α = 90.00°, β = 90.00°, γ = 90.00°
Element x y z (fractional)
Bi  0.188  0.312  0.000
Bi  0.312  0.812  0.000
Bi  0.688  0.188  0.000
Bi  0.812  0.688  0.000
B  0.103  0.603  0.500
B  0.397  0.103  0.500
B  0.603  0.897  0.500
B  0.897  0.397  0.500
Pt  0.000  0.000  0.500
Pt  0.500  0.500  0.500

***

This record from the Alexandria database describes a relaxed structure of HgSbOs2. The functional is PBEsol.

Its density is 15.99 g cm⁻³. The calculation puts the raw total energy at -0.2545 Ha/atom. Its energy above the lowest structure with this stoichiometry is 0.0000 eV per atom.

a = 2.905 Å, b = 2.905 Å, c = 8.651 Å
α = 90.00°, β = 90.00°, γ = 90.00°
Element x y z (fractional)
Hg  0.000  0.000  0.000
Sb  0.500  0.500  0.674
Os  0.000  0.000  0.428
Os  0.500  0.500  0.244

***

This record from the Alexandria database describes a relaxed structure of Li2RhPb. The functional is PBEsol.

Its density is 8.39 g cm⁻³. The calculation puts the raw total energy at -0.1554 Ha/atom. For the formation energy, the calculation gives -0.2102 eV/atom.

a = 5.078 Å, b = 5.078 Å, c = 5.078 Å
α = 135.18°, β = 135.18°, γ = 65.26°
Element x y z (fractional)
Li  0.250  0.750  0.500
Li  0.750  0.250  0.500
Rh  0.000  0.000  0.000
Pb  0.500  0.500  0.000